Record 1
Density functional theory data (PBE) for a relaxed structure of DyYHo2Er6.

energy	-92.8	eV per cell
DOS(E_F)	1.411	states/eV/atom
V	31.404	Å³/atom
magnetic moment	0.00	μB per cell
formation enthalpy at 0 K	120	meV/atom
ρ	8.4	Mg/m³

Unit cell a=9.472 b=8.708 c=8.708 alpha=118.12 beta=93.87 gamma=93.87
Fractional coordinates of all 20 atoms:
Er 0.444 0.250 0.874
Er 0.620 0.497 0.711
Er 0.316 0.979 0.429
Er 0.380 0.503 0.289
Er 0.556 0.750 0.126
Er 0.880 0.289 0.503
Er 0.056 0.126 0.750
Er 0.684 0.021 0.571
Er 0.184 0.571 0.021
Er 0.816 0.429 0.979
Er 0.944 0.874 0.250
Er 0.120 0.711 0.497
Ho 0.956 0.696 0.804
Ho 0.044 0.304 0.196
Ho 0.544 0.196 0.304
Ho 0.456 0.804 0.696
Y 0.750 0.023 0.977
Y 0.250 0.977 0.023
Dy 0.750 0.591 0.409
Dy 0.250 0.409 0.591

=====

Record 2
Density functional theory data (PBE) for a relaxed structure of Dy6Y3HoEr2.

energy	-60.5	eV per cell
DOS(E_F)	1.391	states/eV/atom
V	31.384	Å³/atom
magnetic moment	0.00	μB per cell
formation enthalpy at 0 K	20	meV/atom
ρ	7.7	Mg/m³

Unit cell a=6.132 b=6.132 c=11.736 alpha=94.98 beta=94.98 gamma=119.94
Fractional coordinates of all 12 atoms:
Y 0.500 0.500 0.500
Y 0.167 0.833 0.500
Y 0.833 0.167 0.500
Dy 0.750 0.750 0.248
Dy 0.917 0.584 0.752
Dy 0.083 0.416 0.248
Dy 0.584 0.917 0.752
Dy 0.250 0.250 0.752
Dy 0.416 0.083 0.248
Er 0.333 0.667 0.000
Er 0.667 0.333 0.000
Ho 0.000 0.000 0.000